Below is crystalline RbNaReIr at its relaxed geometry, with properties calculated at the PBE-GGA level.

Summary:
Space-group type   No. 216
E above lowest polymorph   130 meV/atom

Cell: 4.9144 4.9144 4.9144 Å, 60.00 60.00 60.00°
Atoms (fractional coordinates):
Ir 0.2500 0.2500 0.2500
Na 0.7500 0.7500 0.7500
Rb 0.5000 0.5000 0.5000
Re 0.0000 0.0000 0.0000

---

Below is crystalline Lu4AlSN2 at its relaxed geometry, with properties calculated at the PBE-GGA level.

Summary:
Space-group type   No. 187
E   -54.116 eV/cell

Cell: 3.4472 3.4472 13.5474 Å, 90.00 90.00 120.00°
Atoms (fractional coordinates):
Al 0.3333 0.6667 0.5000
Lu 0.3333 0.6667 0.1359
Lu 0.6667 0.3333 0.3259
Lu 0.6667 0.3333 0.6741
Lu 0.3333 0.6667 0.8641
N 0.0000 0.0000 0.2269
N 0.0000 0.0000 0.7731
S 0.6667 0.3333 0.0000

---

Below is crystalline ErSi2 at its relaxed geometry, with properties calculated at the PBE-GGA level.

Summary:
Space-group type   No. 227
E   -32.614 eV/cell

Cell: 5.2915 5.2915 5.2915 Å, 60.00 60.00 60.00°
Atoms (fractional coordinates):
Er 0.0000 0.0000 0.0000
Er 0.2500 0.2500 0.2500
Si 0.6250 0.6250 0.1250
Si 0.6250 0.1250 0.6250
Si 0.1250 0.6250 0.6250
Si 0.6250 0.6250 0.6250

---

Below is crystalline NaYPdSe3 at its relaxed geometry, with properties calculated at the PBE-GGA level.

Summary:
Space-group type   No. 11
E   -59.970 eV/cell

Cell: 8.0144 4.0545 9.4531 Å, 90.00 103.30 90.00°
Atoms (fractional coordinates):
Na 0.2777 0.2500 0.2439
Na 0.7223 0.7500 0.7561
Pd 0.5913 0.7500 0.0848
Pd 0.4087 0.2500 0.9152
Se 0.7443 0.2500 0.0366
Se 0.0573 0.7500 0.3376
Se 0.5576 0.7500 0.3526
Se 0.4424 0.2500 0.6474
Se 0.9427 0.2500 0.6624
Se 0.2557 0.7500 0.9634
Y 0.8102 0.2500 0.3570
Y 0.1898 0.7500 0.6430

---

Below is crystalline KIrOs at its relaxed geometry, with properties calculated at the PBE-GGA level.

Summary:
Space-group type   No. 216
E above lowest polymorph   0 meV/atom

Cell: 4.4439 4.4439 4.4439 Å, 60.00 60.00 60.00°
Atoms (fractional coordinates):
Ir 0.2500 0.2500 0.2500
K 0.7500 0.7500 0.7500
Os 0.0000 0.0000 0.0000

---

Below is crystalline Dy2HoGe3PdPt2 at its relaxed geometry, with properties calculated at the PBE-GGA level.

Summary:
Space-group type   No. 38
E   -54.135 eV/cell

Cell: 3.9054 7.2303 7.2303 Å, 119.92 90.00 90.00°
Atoms (fractional coordinates):
Dy 0.0000 0.4059 0.0000
Dy 0.0000 0.0000 0.4059
Ge 0.5000 0.2560 0.2560
Ge 0.5000 0.9997 0.7442
Ge 0.5000 0.7442 0.9997
Ho 0.0000 0.5944 0.5944
Pd 0.0000 0.9993 0.9993
Pt 0.5000 0.6664 0.3342
Pt 0.5000 0.3342 0.6664

---

Below is crystalline HoTmB4 at its relaxed geometry, with properties calculated at the PBE-GGA level.

Summary:
Space-group type   No. 191
E   -39.496 eV/cell

Cell: 3.2713 3.2713 7.5860 Å, 90.00 90.00 120.00°
Atoms (fractional coordinates):
B 0.6667 0.3333 0.2532
B 0.3333 0.6667 0.2532
B 0.6667 0.3333 0.7468
B 0.3333 0.6667 0.7468
Ho 0.0000 0.0000 0.0000
Tm 0.0000 0.0000 0.5000

---

Below is crystalline NbIBr3Cl at its relaxed geometry, with properties calculated at the PBE-GGA level.

Summary:
Space-group type   No. 2
E above lowest polymorph   0 meV/atom

Cell: 6.9230 7.5373 10.3020 Å, 109.24 92.69 114.95°
Atoms (fractional coordinates):
Br 0.7716 0.8282 0.0399
Br 0.8872 0.3726 0.1414
Br 0.4363 0.5575 0.3215
Br 0.5638 0.4425 0.6785
Br 0.1128 0.6274 0.8586
Br 0.2284 0.1718 0.9601
Cl 0.2863 0.0236 0.2396
Cl 0.7137 0.9764 0.7604
I 0.9207 0.1843 0.4318
I 0.0793 0.8157 0.5682
Nb 0.1054 0.2153 0.2145
Nb 0.8946 0.7847 0.7855

---

Below is crystalline CsTcAgSe3 at its relaxed geometry, with properties calculated at the PBE-GGA level.

Summary:
Space-group type   No. 8
E above lowest polymorph   140 meV/atom

Cell: 8.9937 8.9937 9.4517 Å, 98.76 98.76 24.67°
Atoms (fractional coordinates):
Ag 0.5013 0.5013 0.2243
Ag 0.5002 0.5002 0.7860
Cs 0.8444 0.8444 0.4492
Cs 0.1569 0.1569 0.5633
Se 0.0003 0.0003 0.0037
Se 0.3182 0.3182 0.1217
Se 0.6591 0.6591 0.2417
Se 0.5007 0.5007 0.5056
Se 0.3418 0.3418 0.7704
Se 0.6833 0.6833 0.8910
Tc 0.1696 0.1696 0.0707
Tc 0.8322 0.8322 0.9417

---

Below is crystalline Cs2NaAgF6 at its relaxed geometry, with properties calculated at the PBE-GGA level.

Summary:
Space-group type   No. 87
E above lowest polymorph   0 meV/atom

Cell: 6.0972 6.0972 6.0972 Å, 120.02 120.02 89.97°
Atoms (fractional coordinates):
Ag 0.5000 0.5000 0.0000
Cs 0.7500 0.2500 0.5000
Cs 0.2500 0.7500 0.5000
F 0.2566 0.2566 0.0000
F 0.7434 0.7434 0.0000
F 0.2579 0.7442 0.0021
F 0.7442 0.7421 0.4863
F 0.2558 0.2579 0.5137
F 0.7421 0.2558 0.9979
Na 0.0000 0.0000 0.0000

---

Below is crystalline Fe9Co7 at its relaxed geometry, with properties calculated at the PBE-GGA level.

Summary:
Space-group type   No. 221
E   -125.470 eV/cell

Cell: 5.6705 5.6705 5.6705 Å, 90.00 90.00 90.00°
Atoms (fractional coordinates):
Co 0.0000 0.0000 0.0000
Co 0.5000 0.0000 0.0000
Co 0.0000 0.5000 0.0000
Co 0.5000 0.5000 0.0000
Co 0.0000 0.0000 0.5000
Co 0.5000 0.0000 0.5000
Co 0.0000 0.5000 0.5000
Fe 0.2500 0.2500 0.2500
Fe 0.7500 0.2500 0.2500
Fe 0.2500 0.7500 0.2500
Fe 0.7500 0.7500 0.2500
Fe 0.5000 0.5000 0.5000
Fe 0.2500 0.2500 0.7500
Fe 0.7500 0.2500 0.7500
Fe 0.2500 0.7500 0.7500
Fe 0.7500 0.7500 0.7500

---

Below is crystalline Au2N at its relaxed geometry, with properties calculated at the PBE-GGA level.

Summary:
Space-group type   No. 227
E above lowest polymorph   872 meV/atom

Cell: 5.3742 5.3742 5.3742 Å, 60.00 60.00 60.00°
Atoms (fractional coordinates):
Au 0.6250 0.6250 0.1250
Au 0.6250 0.1250 0.6250
Au 0.1250 0.6250 0.6250
Au 0.6250 0.6250 0.6250
N 0.0000 0.0000 0.0000
N 0.2500 0.2500 0.2500

---

Below is crystalline TcBiPb2 at its relaxed geometry, with properties calculated at the PBE-GGA level.

Summary:
Space-group type   No. 216
E   -18.978 eV/cell

Cell: 5.1848 5.1848 5.1848 Å, 60.00 60.00 60.00°
Atoms (fractional coordinates):
Bi 0.0000 0.0000 0.0000
Pb 0.5000 0.5000 0.5000
Pb 0.7500 0.7500 0.7500
Tc 0.2500 0.2500 0.2500

---

Below is crystalline HfAgPO at its relaxed geometry, with properties calculated at the PBE-GGA level.

Summary:
Space-group type   No. 26
E above lowest polymorph   221 meV/atom

Cell: 4.0958 5.9742 5.4461 Å, 90.00 90.00 90.00°
Atoms (fractional coordinates):
Ag 0.0000 0.0760 0.4991
Ag 0.0000 0.9240 0.9991
Hf 0.5000 0.7025 0.4092
Hf 0.5000 0.2975 0.9092
O 0.0000 0.6871 0.4338
O 0.0000 0.3129 0.9338
P 0.5000 0.2675 0.4120
P 0.5000 0.7325 0.9120

---

Below is crystalline ZrMo2 at its relaxed geometry, with properties calculated at the PBE-GGA level.

Summary:
Space-group type   No. 74
E above lowest polymorph   386 meV/atom

Cell: 5.5974 5.5974 5.5974 Å, 134.45 104.97 92.37°
Atoms (fractional coordinates):
Mo 0.7241 0.6597 0.0644
Mo 0.0953 0.6597 0.4356
Mo 0.9047 0.3403 0.5644
Mo 0.2759 0.3403 0.9356
Zr 0.3081 0.0581 0.2500
Zr 0.6919 0.9419 0.7500

---

Below is crystalline KTbHg3O4 at its relaxed geometry, with properties calculated at the PBE-GGA level.

Summary:
Space-group type   No. 215
E   -35.620 eV/cell

Cell: 5.9354 5.9354 5.9354 Å, 90.00 90.00 90.00°
Atoms (fractional coordinates):
Hg 0.5000 0.5000 0.0000
Hg 0.5000 0.0000 0.5000
Hg 0.0000 0.5000 0.5000
K 0.0000 0.0000 0.0000
O 0.2886 0.2886 0.2886
O 0.7114 0.7114 0.2886
O 0.7114 0.2886 0.7114
O 0.2886 0.7114 0.7114
Tb 0.5000 0.5000 0.5000

---

Below is crystalline LaLuTl at its relaxed geometry, with properties calculated at the PBE-GGA level.

Summary:
Space-group type   No. 216
E above lowest polymorph   0 meV/atom

Cell: 5.2740 5.2740 5.2740 Å, 60.00 60.00 60.00°
Atoms (fractional coordinates):
La 0.2500 0.2500 0.2500
Lu 0.7500 0.7500 0.7500
Tl 0.0000 0.0000 0.0000

---

Below is crystalline CoGeMoW at its relaxed geometry, with properties calculated at the PBE-GGA level.

Summary:
Space-group type   No. 216
E above lowest polymorph   0 meV/atom

Cell: 4.3275 4.3275 4.3275 Å, 60.00 60.00 60.00°
Atoms (fractional coordinates):
Co 0.7500 0.7500 0.7500
Ge 0.0000 0.0000 0.0000
Mo 0.2500 0.2500 0.2500
W 0.5000 0.5000 0.5000

---

Below is crystalline YHoZn6 at its relaxed geometry, with properties calculated at the PBE-GGA level.

Summary:
Space-group type   No. 25
E   -20.969 eV/cell

Cell: 4.6656 6.5736 4.6661 Å, 90.00 90.00 90.00°
Atoms (fractional coordinates):
Ho 0.0000 0.5000 0.2544
Y 0.5000 0.0000 0.7457
Zn 0.5000 0.2511 0.2450
Zn 0.5000 0.7489 0.2450
Zn 0.0000 0.0000 0.2535
Zn 0.5000 0.5000 0.7464
Zn 0.0000 0.2512 0.7550
Zn 0.0000 0.7488 0.7550

---

Below is crystalline SrMgCdPt2 at its relaxed geometry, with properties calculated at the PBE-GGA level.

Summary:
Space-group type   No. 119
E   -19.742 eV/cell

Cell: 6.7927 6.7927 6.7927 Å, 142.98 142.98 53.35°
Atoms (fractional coordinates):
Cd 0.0000 0.0000 0.0000
Mg 0.5000 0.5000 0.0000
Pt 0.1421 0.6421 0.5000
Pt 0.3579 0.8579 0.5000
Sr 0.7500 0.2500 0.5000

---

Below is crystalline NbSiPt2 at its relaxed geometry, with properties calculated at the PBE-GGA level.

Summary:
Space-group type   No. 216
E   -29.267 eV/cell

Cell: 4.4561 4.4561 4.4561 Å, 60.00 60.00 60.00°
Atoms (fractional coordinates):
Nb 0.2500 0.2500 0.2500
Pt 0.0000 0.0000 0.0000
Pt 0.7500 0.7500 0.7500
Si 0.5000 0.5000 0.5000

---

Below is crystalline Sn4Pd3Se at its relaxed geometry, with properties calculated at the PBE-GGA level.

Summary:
Space-group type   No. 6
E   -37.806 eV/cell

Cell: 3.7684 4.1414 11.0937 Å, 90.00 98.07 90.00°
Atoms (fractional coordinates):
Pd 0.9471 0.5000 0.4035
Pd 0.0407 0.0000 0.5847
Pd 0.6705 0.5000 0.8862
Se 0.3428 0.0000 0.1160
Sn 0.8588 0.5000 0.1537
Sn 0.4397 0.0000 0.3788
Sn 0.5610 0.5000 0.6363
Sn 0.1395 0.0000 0.8408

---

Below is crystalline DyErZn2Au4 at its relaxed geometry, with properties calculated at the PBE-GGA level.

Summary:
Space-group type   No. 123
E   -29.915 eV/cell

Cell: 4.8162 4.8162 6.8100 Å, 90.00 90.00 90.00°
Atoms (fractional coordinates):
Au 0.5000 0.0000 0.2526
Au 0.0000 0.5000 0.2526
Au 0.5000 0.0000 0.7474
Au 0.0000 0.5000 0.7474
Dy 0.0000 0.0000 0.0000
Er 0.5000 0.5000 0.5000
Zn 0.5000 0.5000 0.0000
Zn 0.0000 0.0000 0.5000

---

Below is crystalline YHo2Mg3Pd2Pt at its relaxed geometry, with properties calculated at the PBE-GGA level.

Summary:
Space-group type   No. 38
E   -43.729 eV/cell

Cell: 4.0986 7.3768 7.3768 Å, 120.25 90.00 90.00°
Atoms (fractional coordinates):
Ho 0.0000 0.5931 0.0000
Ho 0.0000 0.0000 0.5931
Mg 0.5000 0.2443 0.0005
Mg 0.5000 0.0005 0.2443
Mg 0.5000 0.7546 0.7546
Pd 0.5000 0.6698 0.3321
Pd 0.5000 0.3321 0.6698
Pt 0.0000 0.9970 0.9970
Y 0.0000 0.4085 0.4085

---

Below is crystalline Tb2YSnPb6 at its relaxed geometry, with properties calculated at the PBE-GGA level.

Summary:
Space-group type   No. 65
E   -45.670 eV/cell

Cell: 13.7201 13.7201 4.6163 Å, 90.00 90.00 160.94°
Atoms (fractional coordinates):
Pb 0.5960 0.4040 0.0000
Pb 0.4040 0.5960 0.0000
Pb 0.9034 0.0966 0.5000
Pb 0.7087 0.2913 0.5000
Pb 0.2913 0.7087 0.5000
Pb 0.0966 0.9034 0.5000
Sn 0.0000 0.0000 0.0000
Tb 0.8085 0.1915 0.0000
Tb 0.1915 0.8085 0.0000
Y 0.5000 0.5000 0.5000